Record 1
This record from Alexandria describes crystalline TlPt2Cl at its relaxed geometry. The functional is GGA-PBE.

Cell: 7.087 7.087 3.450 Å, 89.88 89.88 30.16°
Element x y z (fractional)
Pt 0.030 0.030 0.999
Pt 0.834 0.834 0.000
Cl 0.201 0.201 0.002
Tl 0.435 0.435 0.499

Raw formation energy, eV/f.u.: 0.296
M_tot, μB/atom: 0.000

Record 2
This record from Alexandria describes crystalline TlPtCl2 at its relaxed geometry. The functional is GGA-PBE.

Cell: 9.439 9.439 9.439 Å, 21.45 21.45 21.45°
Element x y z (fractional)
Cl 0.082 0.082 0.082
Cl 0.918 0.918 0.918
Tl 0.500 0.500 0.500
Pt 0.000 0.000 0.000

Raw formation energy, eV/f.u.: -0.616
M_tot, μB/atom: 0.000

Record 3
This record from Alexandria describes crystalline TlPtCl2 at its relaxed geometry. The functional is GGA-PBE.

Cell: 3.965 3.961 7.581 Å, 90.00 90.00 90.00°
Element x y z (fractional)
Pt 0.000 0.000 0.650
Cl 0.000 0.000 0.943
Cl 0.500 0.500 0.286
Tl 0.500 0.500 0.620

Raw formation energy, eV/f.u.: -0.166
M_tot, μB/atom: 0.000

| no. | polymorph energy (0 for the lowest one) (kJ per mole of atoms) |
| --- | --- |
| 1 | 1.9 |
| 2 | 15.8 |
| 3 | 26.7 |